This record from Alexandria via LeMat-Bulk describes a geometry-optimized Tb3InCo2 structure. The functional is GGA-PBE.

Summary:
Its calculated volume is 286 Å³ per cell. The space-group type is Pmc2_1 (26). The value obtained for the formation energy is -23.2 kJ/mol of atoms. The value obtained for the density of states at the Fermi level is 12.4 states/eV per cell. As for the total magnetization: 1.9 μB/cell.

Cell: 3.8162 7.3313 10.2191 Å, 90.00 90.00 90.00°
Closest atoms and distances in Å follow each position.
Positions (direct):
Co (0.5000, 0.0257, 0.4051)  2 Co 2.28
Co (0.5000, 0.5257, 0.5949)  2 Co 2.28
Co (0.0000, 0.9826, 0.2877)  2 Co 2.28
Co (0.0000, 0.4826, 0.7123)  2 Co 2.28
Tb (0.0000, 0.8158, 0.5416)  6 Co 2.82-3.00
Tb (0.5000, 0.2109, 0.1701)  3 Co 2.76-2.81
Tb (0.0000, 0.3158, 0.4584)  6 Co 2.82-3.00
Tb (0.5000, 0.7109, 0.8299)  3 Co 2.76-2.81
Tb (0.5000, 0.7125, 0.2245)  3 Co 2.82-2.95
Tb (0.5000, 0.2125, 0.7755)  3 Co 2.82-2.95
In (0.0000, 0.9538, 0.0102)  1 Co 2.84, 2 Tb 3.14
In (0.0000, 0.4538, 0.9898)  1 Co 2.84, 2 Tb 3.14